a.
CrRe2Ag | PBE-GGA | relaxed

Output
Magnetization (μB/atom): 0.235
V (Å³/cell): 119.63
Density (g/cm³): 14.78

Lattice parameters (Å, degrees): 3.0052 4.4692 8.9071 90.00 90.00 90.00
Last column: nearest neighbours and their distance in Å.
Element x y z (fractional)
Cr: 0.0000 0.0000 0.0000  6 Re 2.46-2.71, 2 Ag 2.73
Cr: 0.5000 0.5000 0.5000  6 Re 2.46-2.71, 2 Ag 2.73
Re: 0.0000 0.0000 0.4646  2 Re 2.66, 4 Cr 2.71, 4 Ag 2.91-2.97
Re: 0.0000 0.5000 0.7186  2 Cr 2.46, 2 Re 2.66, 4 Ag 2.70
Re: 0.5000 0.0000 0.2186  2 Cr 2.46, 2 Re 2.66, 4 Ag 2.70
Re: 0.5000 0.5000 0.9646  2 Re 2.66, 4 Cr 2.71, 4 Ag 2.91-2.97
Ag: 0.0000 0.5000 0.2444  8 Re 2.70-2.97, 2 Cr 2.73, 2 Ag 3.01
Ag: 0.5000 0.0000 0.7444  8 Re 2.70-2.97, 2 Cr 2.73, 2 Ag 3.01


b.
CrRe2Ag | PBE-GGA | relaxed

Output
Magnetization (μB/atom): 0.098
V (Å³/cell): 117.59
Density (g/cm³): 15.03

Lattice parameters (Å, degrees): 5.4306 8.0598 2.6865 90.00 90.00 90.00
Last column: nearest neighbours and their distance in Å.
Element x y z (fractional)
Cr: 0.0000 0.0000 0.0000  2 Cr 2.69, 2 Ag 2.72, 8 Re 2.78
Cr: 0.5000 0.5000 0.0000  2 Cr 2.69, 2 Ag 2.72, 8 Re 2.78
Re: 0.2500 0.2500 0.5000  4 Re 2.69-2.72, 4 Cr 2.78, 4 Ag 2.78
Re: 0.2500 0.7500 0.5000  4 Re 2.69-2.72, 4 Cr 2.78, 4 Ag 2.78
Re: 0.7500 0.2500 0.5000  4 Re 2.69-2.72, 4 Cr 2.78, 4 Ag 2.78
Re: 0.7500 0.7500 0.5000  4 Re 2.69-2.72, 4 Cr 2.78, 4 Ag 2.78
Ag: 0.0000 0.5000 0.0000  2 Ag 2.69, 2 Cr 2.72, 8 Re 2.78
Ag: 0.5000 0.0000 0.0000  2 Ag 2.69, 2 Cr 2.72, 8 Re 2.78


Which structure is most stable? a, by 0.6 kJ/mol of atoms over the runner-up.


a.
CrRe2Ag | PBE-GGA | relaxed

Output
Magnetization (μB/atom): 0.648
V (Å³/cell): 243.50
Density (g/cm³): 14.52

Lattice parameters (Å, degrees): 6.2445 6.2445 6.2445 90.00 90.00 90.00
Last column: nearest neighbours and their distance in Å.
Element x y z (fractional)
Cr: 0.0000 0.0000 0.0000  4 Re 2.70, 4 Ag 2.70
Cr: 0.0000 0.5000 0.5000  4 Re 2.70, 4 Ag 2.70
Cr: 0.5000 0.0000 0.5000  4 Re 2.70, 4 Ag 2.70
Cr: 0.5000 0.5000 0.0000  4 Re 2.70, 4 Ag 2.70
Re: 0.0000 0.0000 0.5000  4 Re 2.70, 4 Ag 2.70
Re: 0.0000 0.5000 0.0000  4 Re 2.70, 4 Ag 2.70
Re: 0.2500 0.2500 0.2500  4 Cr 2.70, 4 Re 2.70
Re: 0.2500 0.7500 0.7500  4 Re 2.70, 4 Cr 2.70
Re: 0.5000 0.0000 0.0000  4 Re 2.70, 4 Ag 2.70
Re: 0.5000 0.5000 0.5000  4 Re 2.70, 4 Ag 2.70
Re: 0.7500 0.2500 0.7500  4 Re 2.70, 4 Cr 2.70
Re: 0.7500 0.7500 0.2500  4 Re 2.70, 4 Cr 2.70
Ag: 0.2500 0.2500 0.7500  4 Cr 2.70, 4 Re 2.70
Ag: 0.2500 0.7500 0.2500  4 Cr 2.70, 4 Re 2.70
Ag: 0.7500 0.2500 0.2500  4 Cr 2.70, 4 Re 2.70
Ag: 0.7500 0.7500 0.7500  4 Cr 2.70, 4 Re 2.70


b.
CrRe2Ag | PBE-GGA | relaxed

Output
Magnetization (μB/atom): 0.000
V (Å³/cell): 118.81
Density (g/cm³): 14.88

Lattice parameters (Å, degrees): 5.3883 9.0150 2.6244 90.00 111.25 90.00
Last column: nearest neighbours and their distance in Å.
Element x y z (fractional)
Cr: 0.0000 0.0000 0.0000  2 Cr 2.62, 2 Ag 2.69, 4 Re 2.71
Cr: 0.5000 0.5000 0.0000  2 Cr 2.62, 2 Ag 2.69, 4 Re 2.71
Re: 0.2500 0.2500 0.5000  4 Re 2.62-2.69, 2 Cr 2.71, 2 Ag 2.71
Re: 0.2500 0.7500 0.5000  4 Re 2.62-2.69, 2 Cr 2.71, 2 Ag 2.71
Re: 0.7500 0.2500 0.5000  4 Re 2.62-2.69, 2 Ag 2.71, 2 Cr 2.71
Re: 0.7500 0.7500 0.5000  4 Re 2.62-2.69, 2 Cr 2.71, 2 Ag 2.71
Ag: 0.0000 0.5000 0.0000  2 Ag 2.62, 2 Cr 2.69, 4 Re 2.71
Ag: 0.5000 0.0000 0.0000  2 Ag 2.62, 2 Cr 2.69, 4 Re 2.71


c.
CrRe2Ag | PBE-GGA | relaxed

Output
Magnetization (μB/atom): 0.003
V (Å³/cell): 120.34
Density (g/cm³): 14.69

Lattice parameters (Å, degrees): 2.8883 4.4929 9.2731 90.00 90.00 90.00
Last column: nearest neighbours and their distance in Å.
Element x y z (fractional)
Cr: 0.0000 0.0000 0.0000  4 Re 2.48, 4 Ag 2.67
Cr: 0.5000 0.5000 0.5000  4 Re 2.48, 4 Ag 2.67
Re: 0.0000 0.5000 0.2820  2 Cr 2.48, 4 Re 2.74
Re: 0.0000 0.5000 0.7180  2 Cr 2.48, 4 Re 2.74
Re: 0.5000 0.0000 0.2180  2 Cr 2.48, 4 Re 2.74
Re: 0.5000 0.0000 0.7820  2 Cr 2.48, 4 Re 2.74
Ag: 0.0000 0.0000 0.5000  4 Cr 2.67, 2 Ag 2.89, 4 Re 2.99
Ag: 0.5000 0.5000 0.0000  4 Cr 2.67, 2 Ag 2.89, 4 Re 2.99


d.
CrRe2Ag | PBE-GGA | relaxed

Output
Magnetization (μB/atom): 0.000
V (Å³/cell): 180.54
Density (g/cm³): 14.69

Lattice parameters (Å, degrees): 2.7476 2.7476 27.6160 90.00 90.00 120.00
Last column: nearest neighbours and their distance in Å.
Element x y z (fractional)
Cr: 0.0000 0.0000 0.0000  3 Re 2.67, 6 Cr 2.75, 3 Ag 2.83
Cr: 0.3333 0.6667 0.6667  3 Re 2.67, 6 Cr 2.75, 3 Ag 2.83
Cr: 0.6667 0.3333 0.3333  3 Re 2.67, 6 Cr 2.75, 3 Ag 2.83
Re: 0.0000 0.0000 0.2554  3 Cr 2.67, 9 Re 2.70-2.75
Re: 0.0000 0.0000 0.5097  9 Re 2.70-2.75, 3 Ag 2.98
Re: 0.3333 0.6667 0.1764  9 Re 2.70-2.75, 3 Ag 2.98
Re: 0.3333 0.6667 0.9221  3 Cr 2.67, 9 Re 2.70-2.75
Re: 0.6667 0.3333 0.5887  3 Cr 2.67, 9 Re 2.70-2.75
Re: 0.6667 0.3333 0.8430  9 Re 2.70-2.75, 3 Ag 2.98
Ag: 0.0000 0.0000 0.7517  6 Ag 2.75, 3 Cr 2.83, 3 Re 2.98
Ag: 0.3333 0.6667 0.4184  6 Ag 2.75, 3 Cr 2.83, 3 Re 2.98
Ag: 0.6667 0.3333 0.0851  6 Ag 2.75, 3 Cr 2.83, 3 Re 2.98


Which structure is most stable? d, by 12.6 kJ/mol of atoms over the runner-up.


a.
CrRe2Ag | PBE-GGA | relaxed

Output
Magnetization (μB/atom): 0.000
V (Å³/cell): 120.03
Density (g/cm³): 14.73

Lattice parameters (Å, degrees): 3.0096 4.3810 9.1038 90.00 90.00 90.00
Last column: nearest neighbours and their distance in Å.
Element x y z (fractional)
Cr: 0.0000 0.0000 0.0000  4 Re 2.53, 4 Cr 2.66
Cr: 0.5000 0.5000 0.0000  4 Re 2.53, 4 Cr 2.66
Re: 0.0000 0.5000 0.2232  2 Cr 2.53, 4 Re 2.66
Re: 0.0000 0.5000 0.7768  2 Cr 2.53, 4 Re 2.66
Re: 0.5000 0.0000 0.2232  2 Cr 2.53, 4 Re 2.66
Re: 0.5000 0.0000 0.7768  2 Cr 2.53, 4 Re 2.66
Ag: 0.0000 0.0000 0.5000  4 Ag 2.66, 4 Re 2.94
Ag: 0.5000 0.5000 0.5000  4 Ag 2.66, 4 Re 2.94


b.
CrRe2Ag | PBE-GGA | relaxed

Output
Magnetization (μB/atom): 0.601
V (Å³/cell): 61.71
Density (g/cm³): 14.32

Lattice parameters (Å, degrees): 2.7990 2.7990 7.8767 90.00 90.00 90.00
Last column: nearest neighbours and their distance in Å.
Element x y z (fractional)
Cr: 0.0000 0.0000 0.0000  4 Re 2.64, 4 Cr 2.80, 4 Ag 2.89
Re: 0.0000 0.0000 0.4561  8 Re 2.71-2.80, 4 Ag 2.94
Re: 0.5000 0.5000 0.2220  4 Cr 2.64, 8 Re 2.71-2.80
Ag: 0.5000 0.5000 0.7327  4 Ag 2.80, 4 Cr 2.89, 4 Re 2.94


Which structure is most stable? a, by 7.2 kJ/mol of atoms over the runner-up.


a.
CrAg2Rh | PBE-GGA | relaxed

Output
Magnetization (μB/atom): 0.070
V (Å³/cell): 61.16
Density (g/cm³): 10.06

Lattice parameters (Å, degrees): 2.6802 2.6802 8.5144 90.00 90.00 90.00
Last column: nearest neighbours and their distance in Å.
Element x y z (fractional)
Cr: 0.0000 0.0000 0.0000  4 Cr 2.68, 8 Ag 2.82
Ag: 0.5000 0.5000 0.2450  4 Ag 2.68, 4 Cr 2.82, 4 Rh 2.88
Ag: 0.5000 0.5000 0.7550  4 Ag 2.68, 4 Cr 2.82, 4 Rh 2.88
Rh: 0.0000 0.0000 0.5000  4 Rh 2.68, 8 Ag 2.88


b.
CrAg2Rh | PBE-GGA | relaxed

Output
Magnetization (μB/atom): 0.898
V (Å³/cell): 259.22
Density (g/cm³): 9.50

Lattice parameters (Å, degrees): 6.3761 6.3761 6.3761 90.00 90.00 90.00
Last column: nearest neighbours and their distance in Å.
Element x y z (fractional)
Cr: 0.0000 0.0000 0.0000  4 Ag 2.76, 4 Rh 2.76
Cr: 0.0000 0.5000 0.5000  4 Ag 2.76, 4 Rh 2.76
Cr: 0.5000 0.0000 0.5000  4 Ag 2.76, 4 Rh 2.76
Cr: 0.5000 0.5000 0.0000  4 Ag 2.76, 4 Rh 2.76
Ag: 0.0000 0.0000 0.5000  4 Rh 2.76, 4 Ag 2.76
Ag: 0.0000 0.5000 0.0000  4 Rh 2.76, 4 Ag 2.76
Ag: 0.2500 0.2500 0.7500  4 Cr 2.76, 4 Ag 2.76
Ag: 0.2500 0.7500 0.2500  4 Cr 2.76, 4 Ag 2.76
Ag: 0.5000 0.0000 0.0000  4 Rh 2.76, 4 Ag 2.76
Ag: 0.5000 0.5000 0.5000  4 Rh 2.76, 4 Ag 2.76
Ag: 0.7500 0.2500 0.2500  4 Cr 2.76, 4 Ag 2.76
Ag: 0.7500 0.7500 0.7500  4 Ag 2.76, 4 Cr 2.76
Rh: 0.2500 0.2500 0.2500  4 Cr 2.76, 4 Ag 2.76
Rh: 0.2500 0.7500 0.7500  4 Cr 2.76, 4 Ag 2.76
Rh: 0.7500 0.2500 0.7500  4 Cr 2.76, 4 Ag 2.76
Rh: 0.7500 0.7500 0.2500  4 Cr 2.76, 4 Ag 2.76


c.
CrAg2Rh | PBE-GGA | relaxed

Output
Magnetization (μB/atom): 0.998
V (Å³/cell): 287.20
Density (g/cm³): 8.57

Lattice parameters (Å, degrees): 7.3970 7.3970 5.2490 90.00 90.00 90.00
Last column: nearest neighbours and their distance in Å.
Element x y z (fractional)
Cr: 0.0000 0.0000 0.0000  2 Rh 2.62, 4 Ag 2.70
Cr: 0.0000 0.5000 0.2500  2 Rh 2.62, 4 Ag 2.70
Cr: 0.5000 0.0000 0.7500  2 Rh 2.62, 4 Ag 2.70
Cr: 0.5000 0.5000 0.5000  2 Rh 2.62, 4 Ag 2.70
Ag: 0.2492 0.2500 0.6250  2 Ag 2.62, 2 Rh 2.69, 2 Cr 2.70
Ag: 0.2500 0.7492 0.8750  2 Ag 2.62, 2 Rh 2.69, 2 Cr 2.70
Ag: 0.2500 0.7508 0.3750  2 Ag 2.62, 2 Rh 2.69, 2 Cr 2.70
Ag: 0.2508 0.2500 0.1250  2 Ag 2.62, 2 Rh 2.69, 2 Cr 2.70
Ag: 0.7492 0.7500 0.1250  2 Ag 2.62, 2 Rh 2.69, 2 Cr 2.70
Ag: 0.7500 0.2492 0.3750  2 Ag 2.62, 2 Rh 2.69, 2 Cr 2.70
Ag: 0.7500 0.2508 0.8750  2 Ag 2.62, 2 Rh 2.69, 2 Cr 2.70
Ag: 0.7508 0.7500 0.6250  2 Ag 2.62, 2 Rh 2.69, 2 Cr 2.70
Rh: 0.0000 0.0000 0.5000  2 Cr 2.62, 4 Ag 2.69
Rh: 0.0000 0.5000 0.7500  2 Cr 2.62, 4 Ag 2.69
Rh: 0.5000 0.0000 0.2500  2 Cr 2.62, 4 Ag 2.69
Rh: 0.5000 0.5000 0.0000  2 Cr 2.62, 4 Ag 2.69


Which structure is most stable? b, by 21.7 kJ/mol of atoms over the runner-up.


a.
CrAg2Rh | PBE-GGA | relaxed

Output
Magnetization (μB/atom): 0.816
V (Å³/cell): 128.30
Density (g/cm³): 9.59

Lattice parameters (Å, degrees): 3.8555 3.8555 8.6309 90.00 90.00 90.00
Last column: nearest neighbours and their distance in Å.
Element x y z (fractional)
Cr: 0.0000 0.0000 0.0000  4 Rh 2.73, 8 Ag 2.89
Cr: 0.5000 0.5000 0.5000  4 Rh 2.73, 8 Ag 2.89
Ag: 0.0000 0.5000 0.2500  4 Ag 2.73, 4 Cr 2.89, 4 Rh 2.89
Ag: 0.0000 0.5000 0.7500  4 Ag 2.73, 4 Cr 2.89, 4 Rh 2.89
Ag: 0.5000 0.0000 0.2500  4 Ag 2.73, 4 Cr 2.89, 4 Rh 2.89
Ag: 0.5000 0.0000 0.7500  4 Ag 2.73, 4 Cr 2.89, 4 Rh 2.89
Rh: 0.0000 0.0000 0.5000  4 Cr 2.73, 8 Ag 2.89
Rh: 0.5000 0.5000 0.0000  4 Cr 2.73, 8 Ag 2.89


b.
CrAg2Rh | PBE-GGA | relaxed

Output
Magnetization (μB/atom): 0.743
V (Å³/cell): 64.41
Density (g/cm³): 9.55

Lattice parameters (Å, degrees): 2.9295 3.5503 6.1932 90.00 90.00 90.00
Last column: nearest neighbours and their distance in Å.
Element x y z (fractional)
Cr: 0.0000 0.0000 0.0000  4 Rh 2.55, 1 Ag 2.84
Ag: 0.0000 0.0000 0.4578  6 Ag 2.83-2.93, 1 Cr 2.84, 4 Rh 2.88
Ag: 0.5000 0.5000 0.7230  1 Rh 2.82, 6 Ag 2.83-2.93, 4 Cr 2.87
Rh: 0.5000 0.5000 0.1784  4 Cr 2.55, 1 Ag 2.82


c.
CrAg2Rh | PBE-GGA | relaxed

Output
Magnetization (μB/atom): 0.000
V (Å³/cell): 246.63
Density (g/cm³): 9.98

Lattice parameters (Å, degrees): 6.2712 6.2712 6.2712 90.00 90.00 90.00
Last column: nearest neighbours and their distance in Å.
Element x y z (fractional)
Cr: 0.0000 0.0000 0.0000  8 Ag 2.72
Cr: 0.0000 0.5000 0.5000  8 Ag 2.72
Cr: 0.5000 0.0000 0.5000  8 Ag 2.72
Cr: 0.5000 0.5000 0.0000  8 Ag 2.72
Ag: 0.2500 0.2500 0.2500  4 Cr 2.72, 4 Rh 2.72
Ag: 0.2500 0.2500 0.7500  4 Cr 2.72, 4 Rh 2.72
Ag: 0.2500 0.7500 0.2500  4 Cr 2.72, 4 Rh 2.72
Ag: 0.2500 0.7500 0.7500  4 Cr 2.72, 4 Rh 2.72
Ag: 0.7500 0.2500 0.2500  4 Cr 2.72, 4 Rh 2.72
Ag: 0.7500 0.2500 0.7500  4 Cr 2.72, 4 Rh 2.72
Ag: 0.7500 0.7500 0.2500  4 Cr 2.72, 4 Rh 2.72
Ag: 0.7500 0.7500 0.7500  4 Cr 2.72, 4 Rh 2.72
Rh: 0.0000 0.0000 0.5000  8 Ag 2.72
Rh: 0.0000 0.5000 0.0000  8 Ag 2.72
Rh: 0.5000 0.0000 0.0000  8 Ag 2.72
Rh: 0.5000 0.5000 0.5000  8 Ag 2.72


d.
CrAg2Rh | PBE-GGA | relaxed

Output
Magnetization (μB/atom): 0.831
V (Å³/cell): 129.63
Density (g/cm³): 9.50

Lattice parameters (Å, degrees): 9.1555 2.9238 4.9626 90.00 102.62 90.00
Last column: nearest neighbours and their distance in Å.
Element x y z (fractional)
Cr: 0.0000 0.0000 0.0000  3 Rh 2.56-2.81, 2 Ag 2.80
Cr: 0.5000 0.5000 0.0000  3 Rh 2.56-2.81, 2 Ag 2.80
Ag: 0.2442 0.0000 0.7039  5 Ag 2.71-2.92, 4 Rh 2.81-2.95, 3 Cr 2.88-2.93
Ag: 0.4870 0.0000 0.4745  5 Ag 2.71-2.92, 4 Cr 2.80-2.97, 3 Rh 2.88-2.91
Ag: 0.7442 0.5000 0.7039  5 Ag 2.71-2.92, 4 Rh 2.81-2.95, 3 Cr 2.88-2.93
Ag: 0.9870 0.5000 0.4745  5 Ag 2.71-2.92, 4 Cr 2.80-2.97, 3 Rh 2.88-2.91
Rh: 0.2295 0.5000 0.1816  3 Cr 2.56-2.81, 2 Ag 2.81
Rh: 0.7295 0.0000 0.1816  3 Cr 2.56-2.81, 2 Ag 2.81


Which structure is most stable? b, by 9.8 kJ/mol of atoms over the runner-up.